ZrCuN2: optimized geometry, GGA-PBE.

abc: 4.5657 4.5657 10.2387
angles: 90.00 90.00 90.00
Space group I-42d (No. 122)
Symmetry-distinct sites (fractional):
Zr 0.0000 0.0000 0.0000 x4
Cu 0.0000 0.0000 0.5000 x4
N 0.2371 0.2500 0.6250 x8

Summary:
total DFT energy (no corrections): -7.724 eV/atom
M_tot: 0.0 μB per formula unit
formation energy without anion corrections: -0.4002 eV per atom

=====

Zr6CuN3: optimized geometry, GGA-PBE.

abc: 9.9659 3.2882 10.3345
angles: 90.00 109.63 90.00
Space group P2_1/m (No. 11)
Symmetry-distinct sites (fractional):
Zr 0.0379 0.2500 0.3719 x2
Zr 0.1436 0.7500 0.1314 x2
Zr 0.2631 0.2500 0.6653 x2
Zr 0.3384 0.7500 0.4400 x2
Zr 0.3562 0.7500 0.9459 x2
Zr 0.4399 0.2500 0.2277 x2
Cu 0.1210 0.2500 0.8711 x2
N 0.1438 0.7500 0.5218 x2
N 0.2292 0.2500 0.2802 x2
N 0.4562 0.2500 0.8575 x2

Summary:
total DFT energy (no corrections): -9.099 eV/atom
M_tot: 0.0 μB per formula unit
formation energy without anion corrections: -1.0629 eV per atom